Record 1
The following is a DFT calculation (PBE-GGA) of crystalline CaDy2Hg3 at its relaxed geometry.

a b c (Å): 3.7249 3.7249 11.3356
angles (deg): 90.00 90.00 90.00
Fractional coordinates of all 6 atoms:
1 Ca 0.0000 0.0000 0.0000
2 Dy 0.0000 0.0000 0.3363
3 Dy 0.0000 0.0000 0.6637
4 Hg 0.5000 0.5000 0.1770
5 Hg 0.5000 0.5000 0.5000
6 Hg 0.5000 0.5000 0.8230

Calculated values
Formation energy ... -11.97 kcal/mol of atoms
Total moment ... 0.00 μB per atom
Space group ... P4/mmm, No. 123
Crystal system ... tetragonal

=====

Record 2
The following is a DFT calculation (PBE-GGA) of crystalline CaDyHo2Hg4 at its relaxed geometry.

a b c (Å): 9.1156 9.1156 9.1156
angles (deg): 33.53 33.53 33.53
Fractional coordinates of all 8 atoms:
1 Ca 0.0000 0.0000 0.0000
2 Dy 0.5000 0.5000 0.5000
3 Ho 0.2513 0.2513 0.2513
4 Ho 0.7487 0.7487 0.7487
5 Hg 0.1261 0.1261 0.1261
6 Hg 0.3763 0.3763 0.3763
7 Hg 0.6237 0.6237 0.6237
8 Hg 0.8739 0.8739 0.8739

Calculated values
Formation energy ... -11.74 kcal/mol of atoms
Total moment ... 0.00 μB per atom
Space group ... R-3m, No. 166
Crystal system ... trigonal

=====

Record 3
The following is a DFT calculation (PBE-GGA) of crystalline CaDy2In2Hg2 at its relaxed geometry.

a b c (Å): 9.6272 9.6272 9.6272
angles (deg): 29.99 29.99 29.99
Fractional coordinates of all 7 atoms:
1 Ca 0.0000 0.0000 0.0000
2 Dy 0.1316 0.1316 0.1316
3 Dy 0.8684 0.8684 0.8684
4 In 0.2611 0.2611 0.2611
5 In 0.7389 0.7389 0.7389
6 Hg 0.4304 0.4304 0.4304
7 Hg 0.5696 0.5696 0.5696

Calculated values
Formation energy ... -6.93 kcal/mol of atoms
Total moment ... 0.00 μB per atom
Space group ... R-3m, No. 166
Crystal system ... trigonal

=====

Record 4
The following is a DFT calculation (PBE-GGA) of crystalline CaDyInHg at its relaxed geometry.

a b c (Å): 5.3429 5.3429 5.3429
angles (deg): 60.00 60.00 60.00
Fractional coordinates of all 4 atoms:
1 Ca 0.0000 0.0000 0.0000
2 Dy 0.5000 0.5000 0.5000
3 In 0.2500 0.2500 0.2500
4 Hg 0.7500 0.7500 0.7500

Calculated values
Formation energy ... -11.47 kcal/mol of atoms
Total moment ... 0.00 μB per atom
Space group ... F-43m, No. 216
Crystal system ... cubic

=====

Record 5
The following is a DFT calculation (PBE-GGA) of crystalline LiCaDy2Hg4 at its relaxed geometry.

a b c (Å): 8.9822 8.9822 8.9822
angles (deg): 33.41 33.41 33.41
Fractional coordinates of all 8 atoms:
1 Li 0.0000 0.0000 0.0000
2 Ca 0.5000 0.5000 0.5000
3 Dy 0.2531 0.2531 0.2531
4 Dy 0.7469 0.7469 0.7469
5 Hg 0.1207 0.1207 0.1207
6 Hg 0.3735 0.3735 0.3735
7 Hg 0.6265 0.6265 0.6265
8 Hg 0.8793 0.8793 0.8793

Calculated values
Formation energy ... -10.75 kcal/mol of atoms
Total moment ... 0.00 μB per atom
Space group ... R-3m, No. 166
Crystal system ... trigonal

=====

Record 6
The following is a DFT calculation (PBE-GGA) of crystalline CaDy2MgHg4 at its relaxed geometry.

a b c (Å): 9.0154 9.0154 9.0154
angles (deg): 33.38 33.38 33.38
Fractional coordinates of all 8 atoms:
1 Ca 0.0000 0.0000 0.0000
2 Dy 0.2465 0.2465 0.2465
3 Dy 0.7535 0.7535 0.7535
4 Mg 0.5000 0.5000 0.5000
5 Hg 0.1251 0.1251 0.1251
6 Hg 0.3755 0.3755 0.3755
7 Hg 0.6245 0.6245 0.6245
8 Hg 0.8749 0.8749 0.8749

Calculated values
Formation energy ... -11.02 kcal/mol of atoms
Total moment ... 0.00 μB per atom
Space group ... R-3m, No. 166
Crystal system ... trigonal

=====

Record 7
The following is a DFT calculation (PBE-GGA) of crystalline CaDyMgHg at its relaxed geometry.

a b c (Å): 5.3507 5.3507 5.3507
angles (deg): 60.00 60.00 60.00
Fractional coordinates of all 4 atoms:
1 Ca 0.0000 0.0000 0.0000
2 Dy 0.5000 0.5000 0.5000
3 Mg 0.7500 0.7500 0.7500
4 Hg 0.2500 0.2500 0.2500

Calculated values
Formation energy ... -6.46 kcal/mol of atoms
Total moment ... 0.00 μB per atom
Energy above the most stable polymorph in this dataset ... 22.5 meV per atom
Space group ... F-43m, No. 216
Crystal system ... cubic

=====

Record 8
The following is a DFT calculation (PBE-GGA) of crystalline CaDyMg2Hg4 at its relaxed geometry.

a b c (Å): 8.8968 8.8968 8.8968
angles (deg): 33.16 33.16 33.16
Fractional coordinates of all 8 atoms:
1 Ca 0.0000 0.0000 0.0000
2 Dy 0.5000 0.5000 0.5000
3 Mg 0.2495 0.2495 0.2495
4 Mg 0.7505 0.7505 0.7505
5 Hg 0.1253 0.1253 0.1253
6 Hg 0.3763 0.3763 0.3763
7 Hg 0.6237 0.6237 0.6237
8 Hg 0.8747 0.8747 0.8747

Calculated values
Formation energy ... -10.11 kcal/mol of atoms
Total moment ... 0.00 μB per atom
Space group ... R-3m, No. 166
Crystal system ... trigonal

=====

Record 9
The following is a DFT calculation (PBE-GGA) of crystalline CaDyMgHg at its relaxed geometry.

a b c (Å): 3.8259 3.8259 7.5559
angles (deg): 90.00 90.00 90.00
Fractional coordinates of all 4 atoms:
1 Ca 0.0000 0.0000 0.0000
2 Dy 0.0000 0.0000 0.4773
3 Mg 0.5000 0.5000 0.7276
4 Hg 0.5000 0.5000 0.2565

Calculated values
Formation energy ... -6.98 kcal/mol of atoms
Total moment ... 0.00 μB per atom
Energy above the most stable polymorph in this dataset ... 0.0 meV per atom
Space group ... P4mm, No. 99
Crystal system ... tetragonal

=====

Record 10
The following is a DFT calculation (PBE-GGA) of crystalline NaCaDyHg at its relaxed geometry.

a b c (Å): 5.4086 5.4086 5.4086
angles (deg): 60.00 60.00 60.00
Fractional coordinates of all 4 atoms:
1 Na 0.0000 0.0000 0.0000
2 Ca 0.2500 0.2500 0.2500
3 Dy 0.7500 0.7500 0.7500
4 Hg 0.5000 0.5000 0.5000

Calculated values
Formation energy ... -2.74 kcal/mol of atoms
Total moment ... 0.00 μB per atom
Space group ... F-43m, No. 216
Crystal system ... cubic

=====

Record 11
The following is a DFT calculation (PBE-GGA) of crystalline NaCaDy2Hg4 at its relaxed geometry.

a b c (Å): 9.0808 9.0808 9.0808
angles (deg): 33.52 33.52 33.52
Fractional coordinates of all 8 atoms:
1 Na 0.0000 0.0000 0.0000
2 Ca 0.5000 0.5000 0.5000
3 Dy 0.2522 0.2522 0.2522
4 Dy 0.7478 0.7478 0.7478
5 Hg 0.1245 0.1245 0.1245
6 Hg 0.3747 0.3747 0.3747
7 Hg 0.6253 0.6253 0.6253
8 Hg 0.8755 0.8755 0.8755

Calculated values
Formation energy ... -9.85 kcal/mol of atoms
Total moment ... 0.00 μB per atom
Space group ... R-3m, No. 166
Crystal system ... trigonal

=====

Record 12
The following is a DFT calculation (PBE-GGA) of crystalline CaNdDyHg at its relaxed geometry.

a b c (Å): 3.6566 3.6566 9.3552
angles (deg): 90.00 90.00 90.00
Fractional coordinates of all 4 atoms:
1 Ca 0.0000 0.0000 0.0000
2 Nd 0.5000 0.5000 0.3174
3 Dy 0.0000 0.0000 0.5824
4 Hg 0.5000 0.5000 0.7831

Calculated values
Formation energy ... -5.54 kcal/mol of atoms
Total moment ... 0.00 μB per atom
Space group ... P4mm, No. 99
Crystal system ... tetragonal